1.
Mg2TiNi: relaxed, PBE.

Results
* ΔH_f (0 K): 0.35 eV/atom
* V: 146.0 Å³/cell
* space group: I-42d (122)

Cell: 7.513 7.513 5.909 Å, 50.52 50.52 90.00°
Atoms (fractional coordinates):
Ni1 0.000 0.000 0.000
Ni2 0.750 0.250 0.500
Mg1 0.680 0.125 0.250
Mg2 0.070 0.625 0.250
Mg3 0.375 0.320 0.750
Mg4 0.875 0.930 0.750
Ti1 0.500 0.500 0.000
Ti2 0.250 0.750 0.500



2.
KMgAl: relaxed, PBE.

Results
* E above lowest polymorph: 0 meV/atom
* ΔH_f (0 K): 0.11 eV/atom
* V: 212.2 Å³/cell
* space group: P2_1/m (11)

Cell: 5.424 4.484 8.787 Å, 90.00 96.79 90.00°
Atoms (fractional coordinates):
K1 0.280 0.250 0.652
K2 0.720 0.750 0.348
Mg1 0.146 0.250 0.124
Mg2 0.854 0.750 0.876
Al1 0.630 0.250 0.027
Al2 0.370 0.750 0.973



3.
Ce2Ga2Sn: relaxed, PBE.

Results
* E above lowest polymorph: 0 meV/atom
* ΔH_f (0 K): -0.58 eV/atom
* V: 121.0 Å³/cell
* space group: Cmmm (65)

Cell: 4.169 4.261 7.135 Å, 107.37 90.00 90.00°
Atoms (fractional coordinates):
Ce1 0.500 0.619 0.239
Ce2 0.500 0.381 0.761
Ga1 0.000 0.203 0.406
Ga2 0.000 0.797 0.594
Sn1 0.000 0.000 0.000



4.
LaScIn2: relaxed, PBE.

Results
* ΔH_f (0 K): -0.09 eV/atom
* V: 111.7 Å³/cell
* space group: R3m (160)

Cell: 10.944 10.944 10.944 Å, 18.21 18.21 18.21°
Atoms (fractional coordinates):
In1 0.001 0.001 0.001
In2 0.256 0.256 0.256
La1 0.498 0.498 0.498
Sc1 0.745 0.745 0.745



5.
FeAgSb2: relaxed, PBE.

Results
* E above lowest polymorph: 49 meV/atom
* energy relative to the elements, uncorrected: 81.0 kJ/mol of formula units
* V: 82.6 Å³/cell
* space group: Imm2 (44)

Cell: 7.007 7.007 7.007 Å, 154.31 146.29 42.86°
Atoms (fractional coordinates):
Ag1 0.565 0.565 0.000
Fe1 0.773 0.273 0.500
Sb1 0.935 0.935 0.000
Sb2 0.226 0.726 0.500



6.
GaSbAu5: relaxed, PBE.

Results
* energy relative to the elements, uncorrected: -0.7 kJ/mol of formula units
* V: 141.8 Å³/cell
* space group: P4/mmm (123)

Cell: 4.134 4.134 8.296 Å, 90.00 90.00 90.00°
Atoms (fractional coordinates):
Ga1 0.500 0.500 0.000
Sb1 0.000 0.000 0.500
Au1 0.000 0.500 0.252
Au2 0.000 0.500 0.748
Au3 0.500 0.000 0.252
Au4 0.500 0.000 0.748
Au5 0.000 0.000 0.000



7.
K2Bi5Pd3: relaxed, PBE.

Results
* E above lowest polymorph: 0 meV/atom
* ΔH_f (0 K): -0.30 eV/atom
* V: 571.9 Å³/cell
* space group: Ibam (72)

Cell: 7.089 9.712 9.712 Å, 74.12 68.59 68.59°
Atoms (fractional coordinates):
K1 0.142 0.599 0.118
K2 0.642 0.118 0.599
K3 0.858 0.401 0.882
K4 0.358 0.882 0.401
Bi1 0.408 0.245 0.939
Bi2 0.908 0.939 0.245
Bi3 0.592 0.755 0.061
Bi4 0.092 0.061 0.755
Bi5 0.490 0.760 0.760
Bi6 0.510 0.240 0.240
Bi7 0.750 0.500 0.500
Bi8 0.250 0.500 0.500
Bi9 0.010 0.240 0.240
Bi10 0.990 0.760 0.760
Pd1 0.369 0.518 0.744
Pd2 0.869 0.744 0.518
Pd3 0.631 0.482 0.256
Pd4 0.131 0.256 0.482
Pd5 0.250 0.000 0.000
Pd6 0.750 0.000 0.000



8.
Ho3Zn: relaxed, PBE.

Results
* E above lowest polymorph: 135 meV/atom
* ΔH_f (0 K): -0.03 eV/atom
* V: 105.0 Å³/cell
* space group: Pm-3m (221)

Cell: 4.718 4.718 4.718 Å, 90.00 90.00 90.00°
Atoms (fractional coordinates):
Zn1 0.000 0.000 0.000
Ho1 0.000 0.500 0.500
Ho2 0.500 0.000 0.500
Ho3 0.500 0.500 0.000



9.
BaTeIr3: relaxed, PBE.

Results
* E above lowest polymorph: 1843 meV/atom
* energy relative to the elements, uncorrected: 1268.0 kJ/mol of formula units
* V: 135.0 Å³/cell
* space group: Pm-3m (221)

Cell: 5.130 5.130 5.130 Å, 90.00 90.00 90.00°
Atoms (fractional coordinates):
Ir1 0.000 0.500 0.000
Ir2 0.000 0.000 0.500
Ir3 0.500 0.000 0.000
Te1 0.500 0.500 0.500
Ba1 0.000 0.000 0.000



10.
ZrRh: relaxed, PBE.

Results
* ΔH_f (0 K): -0.27 eV/atom
* V: 333.3 Å³/cell
* space group: I4/m (87)

Cell: 10.060 10.060 3.293 Å, 90.00 90.00 90.00°
Atoms (fractional coordinates):
Zr1 0.360 0.845 0.000
Zr2 0.640 0.155 0.000
Zr3 0.155 0.360 0.000
Zr4 0.845 0.640 0.000
Zr5 0.860 0.345 0.500
Zr6 0.140 0.655 0.500
Zr7 0.655 0.860 0.500
Zr8 0.345 0.140 0.500
Rh1 0.423 0.323 0.000
Rh2 0.577 0.677 0.000
Rh3 0.677 0.423 0.000
Rh4 0.323 0.577 0.000
Rh5 0.923 0.823 0.500
Rh6 0.077 0.177 0.500
Rh7 0.177 0.923 0.500
Rh8 0.823 0.077 0.500



11.
CaPmZn: relaxed, PBE.

Results
* E above lowest polymorph: 174 meV/atom
* ΔH_f (0 K): 0.01 eV/atom
* V: 93.8 Å³/cell
* space group: F-43m (216)

Cell: 5.099 5.099 5.099 Å, 60.00 60.00 60.00°
Atoms (fractional coordinates):
Zn1 0.250 0.250 0.250
Ca1 0.500 0.500 0.500
Pm1 0.000 0.000 0.000



12.
CsNpNiSe3: relaxed, PBE.

Results
* energy relative to the elements, uncorrected: -569.6 kJ/mol of formula units
* V: 366.2 Å³/cell
* space group: P2_1/m (11)

Cell: 4.088 9.769 9.994 Å, 113.42 90.00 90.00°
Atoms (fractional coordinates):
Cs1 0.250 0.212 0.249
Cs2 0.750 0.788 0.751
Np1 0.250 0.681 0.159
Np2 0.750 0.319 0.841
Ni1 0.250 0.081 0.592
Ni2 0.750 0.919 0.408
Se1 0.750 0.874 0.150
Se2 0.250 0.126 0.850
Se3 0.250 0.816 0.460
Se4 0.750 0.184 0.540
Se5 0.750 0.474 0.154
Se6 0.250 0.526 0.846



Among the records above, which one has the highest V?
K2Bi5Pd3



The lowest V belongs to which entry?
FeAgSb2



Which value of V does entry 8 give?
105.0 Å³/cell